# 1
The following is a DFT calculation (PBE) of crystalline ZrInPb2 at its relaxed geometry.

Summary:
ρ = 9.64 Mg/m³
space group = No. 99
VASP energy = -18.815 eV/cell

Lattice parameters (Å, degrees): 3.3228 3.3228 9.6753 90.00 90.00 90.00
Sites, in units of the cell vectors:
1 Zr 0.0000 0.0000 0.0000
2 In 0.5000 0.5000 0.2134
3 Pb 0.0000 0.0000 0.4694
4 Pb 0.5000 0.5000 0.7617

# 2
The following is a DFT calculation (PBE) of crystalline Zr2InPb at its relaxed geometry.

Summary:
ρ = 9.07 Mg/m³
space group = No. 47
VASP energy = -24.364 eV/cell

Lattice parameters (Å, degrees): 4.4285 4.4298 4.7093 90.00 90.00 90.00
Sites, in units of the cell vectors:
1 Zr 0.0000 0.0000 0.0000
2 Zr 0.0000 0.5000 0.5000
3 In 0.5000 0.0000 0.5000
4 Pb 0.5000 0.5000 0.0000

# 3
The following is a DFT calculation (PBE) of crystalline In4Pd at its relaxed geometry.

Summary:
ρ = 6.64 Mg/m³
space group = No. 221
VASP energy = -16.475 eV/cell

Lattice parameters (Å, degrees): 5.2096 5.2096 5.2096 90.00 90.00 90.00
Sites, in units of the cell vectors:
1 In 0.0000 0.0000 0.0000
2 In 0.0000 0.5000 0.5000
3 In 0.5000 0.0000 0.5000
4 In 0.5000 0.5000 0.0000
5 Pd 0.5000 0.5000 0.5000

# 4
The following is a DFT calculation (PBE) of crystalline In2Pd13 at its relaxed geometry.

Summary:
ρ = 11.18 Mg/m³
space group = No. 2
VASP energy = -76.439 eV/cell

Lattice parameters (Å, degrees): 6.2551 6.3362 6.9690 68.06 69.33 84.06
Sites, in units of the cell vectors:
1 In 0.1447 0.4654 0.2820
2 In 0.8553 0.5346 0.7180
3 Pd 0.0000 0.0000 0.5000
4 Pd 0.0693 0.7404 0.8981
5 Pd 0.1961 0.2054 0.6945
6 Pd 0.2683 0.9370 0.0987
7 Pd 0.3307 0.6677 0.4998
8 Pd 0.3980 0.3991 0.8934
9 Pd 0.4688 0.1299 0.2993
10 Pd 0.5312 0.8701 0.7007
11 Pd 0.6020 0.6009 0.1066
12 Pd 0.6693 0.3323 0.5002
13 Pd 0.7317 0.0630 0.9013
14 Pd 0.8039 0.7946 0.3055
15 Pd 0.9307 0.2596 0.1019

# 5
The following is a DFT calculation (PBE) of crystalline In2Pd5 at its relaxed geometry.

Summary:
ρ = 10.47 Mg/m³
space group = No. 72
VASP energy = -68.866 eV/cell

Lattice parameters (Å, degrees): 7.6786 7.6786 7.6786 129.00 69.93 135.55
Sites, in units of the cell vectors:
1 In 0.1146 0.2100 0.3246
2 In 0.3854 0.7100 0.0954
3 In 0.6146 0.2900 0.9046
4 In 0.8854 0.7900 0.6754
5 Pd 0.0198 0.7500 0.2698
6 Pd 0.1091 0.7953 0.9043
7 Pd 0.2500 0.7500 0.5000
8 Pd 0.3909 0.2953 0.6862
9 Pd 0.4802 0.7500 0.7302
10 Pd 0.5198 0.2500 0.2698
11 Pd 0.6091 0.7047 0.3138
12 Pd 0.7500 0.2500 0.5000
13 Pd 0.8909 0.2047 0.0957
14 Pd 0.9802 0.2500 0.7302

# 6
The following is a DFT calculation (PBE) of crystalline InPd3 at its relaxed geometry.

Summary:
ρ = 10.83 Mg/m³
space group = No. 123
VASP energy = -19.673 eV/cell

Lattice parameters (Å, degrees): 3.3666 3.3666 5.8711 90.00 90.00 90.00
Sites, in units of the cell vectors:
1 In 0.0000 0.0000 0.0000
2 Pd 0.0000 0.0000 0.5000
3 Pd 0.5000 0.5000 0.2501
4 Pd 0.5000 0.5000 0.7499

# 7
The following is a DFT calculation (PBE) of crystalline In5Pd6 at its relaxed geometry.

Summary:
ρ = 9.72 Mg/m³
space group = No. 71
VASP energy = -49.562 eV/cell

Lattice parameters (Å, degrees): 7.8977 7.8977 7.8977 146.80 129.16 62.08
Sites, in units of the cell vectors:
1 In 0.0000 0.0000 0.0000
2 In 0.1706 0.6706 0.5000
3 In 0.3468 0.3468 0.0000
4 In 0.6532 0.6532 0.0000
5 In 0.8294 0.3294 0.5000
6 Pd 0.0783 0.8315 0.2468
7 Pd 0.2361 0.5000 0.7361
8 Pd 0.4154 0.1685 0.2468
9 Pd 0.5846 0.8315 0.7532
10 Pd 0.7639 0.5000 0.2639
11 Pd 0.9217 0.1685 0.7532

# 8
The following is a DFT calculation (PBE) of crystalline In5Pd at its relaxed geometry.

Summary:
ρ = 7.94 Mg/m³
space group = No. 65
VASP energy = -19.216 eV/cell

Lattice parameters (Å, degrees): 7.1066 7.1066 4.6848 90.00 90.00 143.03
Sites, in units of the cell vectors:
1 In 0.0000 0.0000 0.0000
2 In 0.1518 0.8482 0.5000
3 In 0.3405 0.6595 0.0000
4 In 0.6595 0.3405 0.0000
5 In 0.8482 0.1518 0.5000
6 Pd 0.5000 0.5000 0.5000

# 9
The following is a DFT calculation (PBE) of crystalline In4Pd at its relaxed geometry.

Summary:
ρ = 7.48 Mg/m³
space group = No. 70
VASP energy = -33.923 eV/cell

Lattice parameters (Å, degrees): 8.5989 7.0200 6.9115 76.22 52.46 51.32
Sites, in units of the cell vectors:
1 In 0.1665 0.2735 0.2784
2 In 0.2184 0.7216 0.7265
3 In 0.2735 0.1665 0.7816
4 In 0.2784 0.7816 0.1665
5 In 0.7216 0.2184 0.8335
6 In 0.7265 0.8335 0.2184
7 In 0.7816 0.2784 0.2735
8 In 0.8335 0.7265 0.7216
9 Pd 0.3750 0.3750 0.3750
10 Pd 0.6250 0.6250 0.6250

# 10
The following is a DFT calculation (PBE) of crystalline In2Pd5 at its relaxed geometry.

Summary:
ρ = 10.77 Mg/m³
space group = No. 15
VASP energy = -68.693 eV/cell

Lattice parameters (Å, degrees): 6.9141 6.9141 7.5785 94.53 94.53 40.61
Sites, in units of the cell vectors:
1 In 0.1171 0.7176 0.8966
2 In 0.2824 0.8829 0.6034
3 In 0.7176 0.1171 0.3966
4 In 0.8829 0.2824 0.1034
5 Pd 0.0286 0.3985 0.8172
6 Pd 0.1686 0.5546 0.5419
7 Pd 0.2990 0.7010 0.2500
8 Pd 0.3985 0.0286 0.3172
9 Pd 0.4454 0.8314 0.9581
10 Pd 0.5546 0.1686 0.0419
11 Pd 0.6015 0.9714 0.6828
12 Pd 0.7010 0.2990 0.7500
13 Pd 0.8314 0.4454 0.4581
14 Pd 0.9714 0.6015 0.1828

# 11
The following is a DFT calculation (PBE) of crystalline InPd3 at its relaxed geometry.

Summary:
ρ = 10.95 Mg/m³
space group = No. 139
VASP energy = -20.118 eV/cell

Lattice parameters (Å, degrees): 4.8003 4.8003 4.8003 128.52 128.52 75.78
Sites, in units of the cell vectors:
1 In 0.0000 0.0000 0.0000
2 Pd 0.2500 0.7500 0.5000
3 Pd 0.5000 0.5000 0.0000
4 Pd 0.7500 0.2500 0.5000

# 12
The following is a DFT calculation (PBE) of crystalline InPd3 at its relaxed geometry.

Summary:
ρ = 10.94 Mg/m³
space group = No. 139
VASP energy = -40.263 eV/cell

Lattice parameters (Å, degrees): 8.2718 8.2718 8.2718 151.12 151.12 41.30
Sites, in units of the cell vectors:
1 In 0.1250 0.1250 0.0000
2 In 0.8750 0.8750 0.0000
3 Pd 0.0000 0.5000 0.5000
4 Pd 0.2500 0.7500 0.5000
5 Pd 0.3740 0.3740 0.0000
6 Pd 0.5000 0.0000 0.5000
7 Pd 0.6260 0.6260 0.0000
8 Pd 0.7500 0.2500 0.5000

no.,Fermi-level density of states (states/eV/atom),formation energy from the elements (eV/atom)
1,0.453,-0.028
2,0.623,-0.205
3,0.490,-0.066
4,1.452,-0.230
5,0.415,-0.427
6,0.495,-0.339
7,0.374,-0.428
8,0.377,-0.055
9,0.382,-0.163
10,0.440,-0.415
11,0.241,-0.450
12,0.421,-0.454